[1]
Below is a relaxed structure of Eu2FeH6, with properties calculated at the PBE-GGA level.

Output
E_tot ... -5.98 eV/atom

Cell lengths 5.128, 5.128, 5.128 Å; angles 60.00, 60.00, 60.00 degrees
Atoms (fractional coordinates):
H (0.224, 0.776, 0.776)
H (0.776, 0.776, 0.224)
H (0.224, 0.776, 0.224)
H (0.224, 0.224, 0.776)
H (0.776, 0.224, 0.776)
H (0.776, 0.224, 0.224)
Fe (0.000, 0.000, 0.000)
Eu (0.750, 0.750, 0.750)
Eu (0.250, 0.250, 0.250)

***

[2]
Below is a relaxed structure of EuFeH2, with properties calculated at the PBE-GGA level.

Output
E_tot ... -6.10 eV/atom

Cell lengths 3.024, 3.024, 5.965 Å; angles 75.32, 75.32, 60.00 degrees
Atoms (fractional coordinates):
H (0.136, 0.136, 0.593)
H (0.864, 0.864, 0.407)
Fe (0.500, 0.500, 0.500)
Eu (0.000, 0.000, 0.000)

***

[3]
Below is a relaxed structure of EuFeH3, with properties calculated at the PBE-GGA level.

Output
E_tot ... -6.06 eV/atom

Cell lengths 3.618, 3.618, 3.618 Å; angles 90.00, 90.00, 90.00 degrees
Atoms (fractional coordinates):
H (0.000, 0.000, 0.500)
H (0.500, 0.000, 0.000)
H (0.000, 0.500, 0.000)
Fe (0.000, 0.000, 0.000)
Eu (0.500, 0.500, 0.500)

***

[4]
Below is a relaxed structure of EuHfFe4, with properties calculated at the PBE-GGA level.

Output
Energy relative to the elements ... 98 meV per atom
E_tot ... -8.92 eV/atom

Cell lengths 5.051, 5.051, 5.051 Å; angles 60.00, 60.00, 60.00 degrees
Atoms (fractional coordinates):
Fe (0.127, 0.624, 0.624)
Fe (0.624, 0.624, 0.624)
Fe (0.624, 0.624, 0.127)
Fe (0.624, 0.127, 0.624)
Eu (0.000, 0.000, 0.000)
Hf (0.250, 0.250, 0.250)

***

DOS(E_F), record by record: 25.93; 2.95; 13.72; 16.43 states/eV/f.u.
Spin magnetization, record by record: 1.557; 1.515; 1.660; 2.212 μB per atom
Mass density, record by record: 6.37; 7.71; 7.39; 10.09 g cm⁻³